The following is a PBE-GGA calculation of a relaxed InAg2W crystal, from Alexandria.

Properties
* crystal system: monoclinic
* ΔH_f (0 K): 2.14 eV per formula unit
* total energy: -4.8137 eV per atom
* spin magnetization: 0.00 μB per cell

Unit cell a=4.523 b=2.846 c=5.867 alpha=75.27 beta=90.00 gamma=90.00
Element x y z (fractional)
1 Ag 0.000 0.058 0.016
2 Ag 0.500 0.457 0.227
3 W 0.500 0.690 0.732
4 In 0.000 0.295 0.525